First-principles (PBE-GGA) data for a geometry-optimized Y2ZnC structure, as listed in Alexandria via LeMat-Bulk.

a = 3.729 Å, b = 6.472 Å, c = 6.665 Å
α = 90.00°, β = 106.24°, γ = 90.00°
Fractional coordinates of all 8 atoms:
Y  0.644  0.500  0.288
Y  0.356  0.500  0.712
Y  0.356  0.000  0.712
Y  0.644  0.000  0.288
C  0.190  0.750  0.379
C  0.810  0.250  0.621
Zn  0.990  0.250  0.981
Zn  0.010  0.750  0.019

Values from the calculation:
- E above lowest polymorph: 0 meV per atom
- Volume: 154.4 Å³ per cell
- Symmetry: Cmcm
- Density of states at the Fermi level: 0.40 states/eV per atom
- E_form: -228 meV/atom